No. 1
This record from the Alexandria database describes crystalline Y7Ga2Ir2 at its relaxed geometry. The functional is PBE.

ΔH_f (0 K) = -0.460 eV per atom

Cell and atoms, written as extended XYZ:
```
11
Lattice="6.677 -0.003 -0.798 0.003 6.991 0.003 -1.213 -0.002 6.615" Properties=species:S:1:pos:R:3 pbc="T T T"
Y 3.340 5.184 -0.396
Y 2.733 1.762 2.909
Y -0.605 1.805 3.308
Y 2.127 1.803 6.216
Y 6.073 5.181 2.512
Y 0.000 0.000 0.000
Y 2.734 5.224 2.911
Ir 4.395 6.989 1.352
Ir 1.072 -0.002 4.468
Ga 4.549 3.492 4.842
Ga 0.918 3.495 0.978
```


No. 2
This record from the Alexandria database describes crystalline Pm10Dy6Th at its relaxed geometry. The functional is PBE.

ΔH_f (0 K) = 0.148 eV per atom

Cell and atoms, written as extended XYZ:
```
17
Lattice="6.946 0.000 0.000 0.000 8.473 -4.892 0.000 0.000 9.784" Properties=species:S:1:pos:R:3 pbc="T T T"
Pm 1.255 6.130 -3.539
Pm 5.691 2.343 -1.353
Pm 5.691 0.000 2.705
Pm 0.000 5.649 0.000
Pm 5.691 6.130 3.539
Pm 3.473 5.649 0.000
Pm 0.000 2.824 4.892
Pm 1.255 0.000 7.079
Pm 1.255 2.343 1.353
Pm 3.473 2.824 4.892
Dy 4.784 5.355 -3.092
Dy 4.784 0.000 6.184
Dy 2.162 3.118 -1.800
Dy 2.162 0.000 3.600
Dy 2.162 5.355 3.092
Dy 4.784 3.118 1.800
Th 3.473 0.000 0.000
```


No. 3
This record from the Alexandria database describes crystalline Li4Sc3AlO8 at its relaxed geometry. The functional is PBE.

Raw formation energy = -45.7 eV per formula unit

Cell and atoms, written as extended XYZ:
```
16
Lattice="6.106 0.000 0.000 0.000 6.045 -0.045 -3.053 -3.050 4.320" Properties=species:S:1:pos:R:3 pbc="T T T"
Li 3.053 0.000 0.000
Li 0.000 0.000 0.000
Li -1.526 -1.525 2.160
Li 1.526 -1.525 2.160
O 4.663 1.642 0.023
O 1.610 1.352 4.253
O 3.053 2.928 2.069
O 3.053 0.034 2.302
O 0.000 2.961 1.973
O -1.610 1.352 4.253
O 1.443 1.642 0.023
O 0.000 0.067 2.207
Sc -1.526 1.497 2.138
Sc 3.053 3.022 -0.022
Sc 1.526 1.497 2.138
Al 0.000 3.022 -0.022
```


No. 4
This record from the Alexandria database describes crystalline NaLi2Tl6 at its relaxed geometry. The functional is PBE.

ΔH_f (0 K) = 0.003 eV per atom
Relative energy among the computed polymorphs = 81 kJ/mol of formula units

Cell and atoms, written as extended XYZ:
```
9
Lattice="-3.460 0.590 -3.183 2.738 -1.954 -3.337 -3.830 -9.690 5.894" Properties=species:S:1:pos:R:3 pbc="T T T"
Tl -0.727 -6.163 -0.352
Tl -2.600 -1.859 -1.045
Tl -3.825 -4.891 -0.275
Tl -5.050 -7.923 0.495
Tl 0.499 -3.131 -1.122
Tl -1.952 -9.195 0.418
Li -1.849 -4.365 -2.325
Li -2.703 -6.689 1.699
Na 0.000 0.000 0.000
```